No. 1
## CrAu (PBE-GGA)

Data for an optimized crystal structure of CrAu.

The calculation puts the raw total energy at -6.128 eV/atom. For the magnetic moment, the calculation gives 1.96 μB per atom. The formation energy is 0.3228 eV per atom.

It has space group C2/m (No. 12), with a = 9.6585 Å, b = 3.1356 Å, c = 4.6506 Å, α = 90.00°, β = 103.43° and γ = 90.00°. The distinct sites, in fractional coordinates, are Cr at (0.1198, 0.0000, 0.3372) and Au at (0.1221, 0.5000, 0.8366).



No. 2
## Dy6Y7 (PBE-GGA)

Data for an optimized crystal structure of Dy6Y7.

The calculation puts the raw total energy at -5.321 eV/atom. For the magnetic moment, the calculation gives 0.46 μB per atom. The formation energy is 0.2836 eV per atom.

It has space group R-3m (No. 166, hexagonal axes), with a = 6.5732 Å, b = 6.5732 Å, c = 35.0107 Å, α = 90.00°, β = 90.00° and γ = 120.00°. The distinct sites, in fractional coordinates, are Dy at (0.0000, 0.0000, 0.0463), Dy at (0.0000, 0.0000, 0.1481), Dy at (0.0000, 0.0000, 0.3337), Y at (0.0000, 0.0000, 0.5000) and Y at (0.0039, 0.5019, 0.9129).



No. 3
## CaSBrCl2 (PBE-GGA)

Data for an optimized crystal structure of CaSBrCl2.

The calculation puts the energy above the most stable polymorph in this dataset at 0.0 meV per atom. The calculation puts the raw total energy at -2.914 eV/atom. For the magnetic moment, the calculation gives 0.61 μB per atom.

It has space group P4/mmm (No. 123), with a = 5.3062 Å, b = 5.3062 Å, c = 5.8478 Å, α = 90.00°, β = 90.00° and γ = 90.00°. The distinct sites, in fractional coordinates, are Ca at (0.0000, 0.0000, 0.0000), S at (0.0000, 0.0000, 0.5000), Br at (0.5000, 0.5000, 0.5000) and Cl at (0.0000, 0.5000, 0.0000).